Crystalline AcTmInAu at its relaxed geometry. Source: Alexandria, functional PBE.

a b c (Å): 5.4537 5.4537 5.4537
angles (deg): 60.00 60.00 60.00
Fractional positions:
1 Ac 0.0000 0.0000 0.0000
2 Tm 0.5000 0.5000 0.5000
3 In 0.7500 0.7500 0.7500
4 Au 0.2500 0.2500 0.2500

Summary:
SG: F-43m (216)
Magnetic moment, μB per formula unit: 0.00
V, Å³ per cell: 115
E, eV/atom: -4.167
DOS(E_F), states/eV/cell: 2.9